(1)
The following is a PBE calculation of a relaxed structure of La2TbTmSb4, from the Alexandria database.

Output
VASP energy in eV/cell: -44.9

The structure in POSCAR format:
```
La2TbTmSb4
1.0
7.772 0.000 0.000
0.000 4.507 0.000
-2.611 0.000 7.351
La Tb Tm Sb
2 1 1 4
direct
0.000 0.000 0.000
0.000 0.500 0.500
0.500 0.000 0.500
0.500 0.500 0.000
0.264 0.500 0.253
0.265 0.000 0.757
0.735 0.000 0.243
0.736 0.500 0.747
```

***

(2)
The following is a PBE calculation of a relaxed structure of KTa2, from the Alexandria database.

Output
VASP energy in eV/cell: -42.8
Energy relative to the lowest polymorph listed for this composition in eV/f.u.: 1.737
ΔH_f (0 K) in eV/atom: 1.128

The structure in POSCAR format:
```
KTa2
1.0
7.149 -1.378 0.000
7.149 1.378 0.000
-2.536 0.000 7.056
K Ta
2 4
direct
0.000 0.000 0.000
0.650 0.650 0.322
0.021 0.021 0.588
0.347 0.347 0.618
0.359 0.359 0.255
0.735 0.735 0.851
```

***

(3)
The following is a PBE calculation of a relaxed structure of HAuSe, from the Alexandria database.

Output
VASP energy in eV/cell: -20.5
Energy relative to the lowest polymorph listed for this composition in eV/f.u.: 0.066

The structure in POSCAR format:
```
HAuSe
1.0
3.803 -2.513 0.000
3.803 2.513 0.000
-2.836 0.000 6.700
H Au Se
2 2 2
direct
0.108 0.892 0.500
0.892 0.108 0.000
0.286 0.293 0.156
0.293 0.286 0.656
0.614 0.953 0.905
0.953 0.614 0.405
```

***

(4)
The following is a PBE calculation of a relaxed structure of TbTm3Th3, from the Alexandria database.

Output
VASP energy in eV/cell: -80.1
Energy relative to the lowest polymorph listed for this composition in eV/f.u.: 0.000
ΔH_f (0 K) in eV/atom: 0.038

The structure in POSCAR format:
```
TbTm3Th3
1.0
9.407 0.000 0.000
-4.703 8.146 0.000
0.000 0.000 5.798
Tb Tm Th
2 6 6
direct
0.333 0.667 0.250
0.667 0.333 0.750
0.092 0.620 0.750
0.380 0.471 0.750
0.471 0.092 0.250
0.529 0.908 0.750
0.620 0.529 0.250
0.908 0.380 0.250
0.047 0.811 0.250
0.189 0.236 0.250
0.236 0.047 0.750
0.764 0.953 0.250
0.811 0.764 0.750
0.953 0.189 0.750
```